The following is a PBE-GGA calculation of an optimized crystal structure of CaEr2As, from the Alexandria database.

Calculated values
space-group type: R-3m
ΔE_f: -1.9 eV per formula unit
calculated total energy: -4.41 eV/atom
total moment: 0.000 μB/atom

The structure in POSCAR format:
```
CaEr2As
1.0
-0.374 -3.360 1.841
1.638 -3.174 -1.436
8.957 -0.196 5.489
Ca Er As
1 2 1
direct
0.000 0.000 0.000
0.112 0.112 0.663
0.888 0.888 0.337
0.500 0.500 0.500
```

=====

The following is a PBE-GGA calculation of an optimized crystal structure of CaErAs2, from the Alexandria database.

Calculated values
space-group type: R3m
relative energy among the computed polymorphs: 0.43 eV per formula unit
ΔE_f: -4.3 eV per formula unit
calculated total energy: -5.05 eV/atom
total moment: 0.001 μB/atom

The structure in POSCAR format:
```
CaErAs2
1.0
-3.498 2.304 -0.811
-3.614 -0.786 2.129
-0.563 4.902 5.131
Ca As Er
1 2 1
direct
0.670 0.670 0.990
0.244 0.244 0.269
0.090 0.090 0.731
0.497 0.497 0.510
```

=====

The following is a PBE-GGA calculation of an optimized crystal structure of CaEr5As6, from the Alexandria database.

Calculated values
space-group type: C2/m
ΔE_f: -17.1 eV per formula unit
calculated total energy: -5.81 eV/atom
total moment: 0.000 μB/atom

The structure in POSCAR format:
```
CaEr5As6
1.0
-3.339 -5.592 -2.849
3.843 4.332 -4.123
5.270 -3.377 3.405
As Er Ca
6 5 1
direct
0.085 0.425 0.253
0.256 0.256 0.747
0.575 0.915 0.747
0.915 0.575 0.747
0.425 0.085 0.253
0.744 0.744 0.253
0.333 0.667 0.000
0.500 0.500 0.500
0.667 0.333 0.000
0.165 0.835 0.500
0.835 0.165 0.500
0.000 0.000 0.000
```

=====

Question: Which value of total moment does entry 1 give?
Answer: 0.000 μB/atom